(1)
The following is a PBE calculation of an optimized crystal structure of NdYPuCd, from Alexandria.

Computed properties:
For the energy of formation, the calculation gives 0.0702 eV per atom. The volume is 29.067 A^3/atom.

abc: 7.748 7.748 7.748
angles: 90.00 90.00 90.00
Space group F-43m (No. 216)
Unique sites:
Nd: 0.000 0.000 0.000
Y: 0.000 0.000 0.500
Pu: 0.250 0.250 0.750
Cd: 0.250 0.250 0.250

***

(2)
The following is a PBE calculation of an optimized crystal structure of ZrZnGa2N, from Alexandria.

Computed properties:
The total DFT energy (no corrections) comes out at -22.58 eV for the cell shown. The volume is 16.433 A^3/atom.

abc: 4.692 4.692 3.733
angles: 90.00 90.00 90.00
Space group P4/mmm (No. 123)
Unique sites:
Zr: 0.000 0.000 0.000
Zn: 0.500 0.500 0.000
Ga: 0.000 0.500 0.500
N: 0.500 0.500 0.500

***

(3)
The following is a PBE calculation of an optimized crystal structure of Ho12Ni6Pb, from Alexandria.

Computed properties:
For the energy of formation, the calculation gives -0.3897 eV per atom. The volume is 23.885 A^3/atom.

abc: 9.682 9.682 9.682
angles: 90.00 90.00 90.00
Space group Im-3 (No. 204)
Unique sites:
Ho: 0.000 0.188 0.305
Ni: 0.000 0.377 0.500
Pb: 0.000 0.000 0.000

***

(4)
The following is a PBE calculation of an optimized crystal structure of Ti7TlC2, from Alexandria.

Computed properties:
For the energy of formation, the calculation gives -0.1277 eV per atom. The volume is 16.051 A^3/atom.

abc: 6.910 11.097 4.187
angles: 90.00 90.00 90.00
Space group Cmmm (No. 65)
Unique sites:
Ti: 0.000 0.000 0.000
Ti: 0.000 0.219 0.500
Ti: 0.202 0.363 0.000
Tl: 0.000 0.500 0.500
C: 0.000 0.204 0.000

***

(5)
The following is a PBE calculation of an optimized crystal structure of Zr2SbIr2, from Alexandria.

Computed properties:
The total DFT energy (no corrections) comes out at -84.79 eV for the cell shown. The volume is 19.484 A^3/atom.

abc: 7.759 7.759 3.237
angles: 90.00 90.00 90.00
Space group P4/mbm (No. 127)
Unique sites:
Zr: 0.162 0.338 0.000
Sb: 0.000 0.000 0.500
Ir: 0.131 0.631 0.500

***

(6)
The following is a PBE calculation of an optimized crystal structure of Tl3TcGe, from Alexandria.

Computed properties:
For the energy of formation, the calculation gives 0.7845 eV per atom. The volume is 30.259 A^3/atom.

abc: 5.329 5.329 5.329
angles: 90.00 90.00 90.00
Space group Pm-3m (No. 221)
Unique sites:
Tl: 0.000 0.000 0.500
Tc: 0.000 0.000 0.000
Ge: 0.500 0.500 0.500

***

(7)
The following is a PBE calculation of an optimized crystal structure of Tm2Cu2Ag, from Alexandria.

Computed properties:
For the energy of formation, the calculation gives -0.2907 eV per atom. The volume is 19.861 A^3/atom.

abc: 7.375 7.375 3.652
angles: 90.00 90.00 90.00
Space group P4/mbm (No. 127)
Unique sites:
Tm: 0.176 0.324 0.000
Cu: 0.120 0.620 0.500
Ag: 0.000 0.000 0.500

***

(8)
The following is a PBE calculation of an optimized crystal structure of Zr2W, from Alexandria.

Computed properties:
For the energy of formation, the calculation gives 0.3204 eV per atom. The volume is 20.512 A^3/atom.

abc: 4.9473 4.9473 5.8060
angles: 90.00 90.00 120.00
Space group P6_3/mmc (No. 194)
Unique sites:
Zr: 0.0000 0.0000 0.0000
Zr: 0.3333 0.6667 0.2500
W: 0.3333 0.6667 0.7500

***

(9)
The following is a PBE calculation of an optimized crystal structure of Ba4HIrBr2, from Alexandria.

Computed properties:
The total DFT energy (no corrections) comes out at -30.84 eV for the cell shown. The volume is 34.909 A^3/atom.

abc: 7.522 4.489 8.644
angles: 90.00 106.87 90.00
Space group P2/m (No. 10)
Unique sites:
Ba: 0.239 0.000 0.208
Ba: 0.257 0.500 0.792
H: 0.500 0.000 0.000
Ir: 0.000 0.500 0.000
Br: 0.000 0.000 0.500
Br: 0.500 0.500 0.500